No. 1
VASP calculation (PBE) on crystalline La2H3Pd12Pt at its relaxed geometry.

Its total energy is -5.19 eV per atom. The calculation puts the size of the total moment at 0.000 μB per atom.

Lattice parameters (Å, degrees): 7.3968 7.3968 7.3968 59.12 59.12 59.12
Atoms (fractional coordinates):
La 0.0975 0.0975 0.0975
La 0.9025 0.9025 0.9025
H 0.0000 0.5000 0.5000
H 0.5000 0.0000 0.5000
H 0.5000 0.5000 0.0000
Pd 0.0472 0.6485 0.6485
Pd 0.2273 0.2273 0.6062
Pd 0.2273 0.6062 0.2273
Pd 0.3515 0.3515 0.9528
Pd 0.3515 0.9528 0.3515
Pd 0.3938 0.7727 0.7727
Pd 0.6062 0.2273 0.2273
Pd 0.6485 0.0472 0.6485
Pd 0.6485 0.6485 0.0472
Pd 0.7727 0.3938 0.7727
Pd 0.7727 0.7727 0.3938
Pd 0.9528 0.3515 0.3515
Pt 0.5000 0.5000 0.5000

No. 2
VASP calculation (PBE) on crystalline La2PuH12Pd3 at its relaxed geometry.

Its total energy is -4.73 eV per atom. The calculation puts the size of the total moment at 0.313 μB per atom.

Lattice parameters (Å, degrees): 6.4909 6.4909 6.4909 59.15 59.15 59.15
Atoms (fractional coordinates):
La 0.1116 0.1116 0.1116
La 0.8884 0.8884 0.8884
Pu 0.5000 0.5000 0.5000
H 0.0726 0.6388 0.6388
H 0.2350 0.2350 0.6358
H 0.2350 0.6358 0.2350
H 0.3612 0.3612 0.9274
H 0.3612 0.9274 0.3612
H 0.3642 0.7650 0.7650
H 0.6358 0.2350 0.2350
H 0.6388 0.0726 0.6388
H 0.6388 0.6388 0.0726
H 0.7650 0.3642 0.7650
H 0.7650 0.7650 0.3642
H 0.9274 0.3612 0.3612
Pd 0.0000 0.5000 0.5000
Pd 0.5000 0.0000 0.5000
Pd 0.5000 0.5000 0.0000

No. 3
VASP calculation (PBE) on crystalline RbLaH6Pd2 at its relaxed geometry.

Its total energy is -3.99 eV per atom. The calculation puts the size of the total moment at 0.000 μB per atom.

Lattice parameters (Å, degrees): 6.6372 6.6372 8.0486 108.13 108.13 88.33
Atoms (fractional coordinates):
Rb 0.0784 0.9216 0.7500
Rb 0.9216 0.0784 0.2500
La 0.4493 0.5507 0.2500
La 0.5507 0.4493 0.7500
H 0.0671 0.6571 0.0902
H 0.1941 0.3121 0.7126
H 0.3121 0.1941 0.2126
H 0.3273 0.6421 0.5443
H 0.3429 0.9329 0.4098
H 0.3579 0.6727 0.9557
H 0.6421 0.3273 0.0443
H 0.6571 0.0671 0.5902
H 0.6727 0.3579 0.4557
H 0.6879 0.8059 0.7874
H 0.8059 0.6879 0.2874
H 0.9329 0.3429 0.9098
Pd 0.1418 0.4913 0.8986
Pd 0.4913 0.1418 0.3986
Pd 0.5087 0.8582 0.6014
Pd 0.8582 0.5087 0.1014

No. 4
VASP calculation (PBE) on crystalline LaH6Pd2Rh at its relaxed geometry.

Its total energy is -4.65 eV per atom. The calculation puts the size of the total moment at 0.000 μB per atom.

Lattice parameters (Å, degrees): 4.8169 8.5551 4.7862 90.00 90.00 90.00
Atoms (fractional coordinates):
La 0.0000 0.0000 0.0000
La 0.5000 0.5000 0.5000
H 0.1290 0.3546 0.2321
H 0.1290 0.3546 0.7679
H 0.1802 0.0854 0.5000
H 0.3198 0.5854 0.0000
H 0.3710 0.8546 0.2679
H 0.3710 0.8546 0.7321
H 0.6290 0.1454 0.2679
H 0.6290 0.1454 0.7321
H 0.6802 0.4146 0.0000
H 0.8198 0.9146 0.5000
H 0.8710 0.6454 0.2321
H 0.8710 0.6454 0.7679
Pd 0.0685 0.7477 0.5000
Pd 0.4315 0.2477 0.0000
Pd 0.5685 0.7523 0.0000
Pd 0.9315 0.2523 0.5000
Rh 0.0000 0.5000 0.0000
Rh 0.5000 0.0000 0.5000

No. 5
VASP calculation (PBE) on crystalline La2H6PdRh at its relaxed geometry.

Its total energy is -4.82 eV per atom. The calculation puts the size of the total moment at 0.000 μB per atom.

Lattice parameters (Å, degrees): 5.3952 5.3952 5.3693 119.34 119.34 91.18
Atoms (fractional coordinates):
La 0.2501 0.7499 0.0000
La 0.7499 0.2501 0.0000
H 0.2368 0.7632 0.5000
H 0.2377 0.2377 0.9749
H 0.2402 0.2402 0.5003
H 0.7598 0.7598 0.4997
H 0.7623 0.7623 0.0251
H 0.7632 0.2368 0.5000
Pd 0.5000 0.5000 0.5000
Rh 0.0000 0.0000 0.5000

No. 6
VASP calculation (PBE) on crystalline LaHPd2Rh at its relaxed geometry.

Its energy above the most stable polymorph in this dataset is 0.000 eV/atom. Its total energy is -5.77 eV per atom. The calculation puts the size of the total moment at 0.000 μB per atom.

Lattice parameters (Å, degrees): 4.1991 4.1991 4.2961 90.00 90.00 90.00
Atoms (fractional coordinates):
La 0.0000 0.0000 0.0000
H 0.5000 0.5000 0.5000
Pd 0.0000 0.5000 0.5000
Pd 0.5000 0.0000 0.5000
Rh 0.5000 0.5000 0.0000

No. 7
VASP calculation (PBE) on crystalline LaHPd2Rh at its relaxed geometry.

Its energy above the most stable polymorph in this dataset is 0.086 eV/atom. Its total energy is -5.68 eV per atom. The calculation puts the size of the total moment at 0.000 μB per atom.

Lattice parameters (Å, degrees): 4.0161 4.0161 4.7841 90.00 90.00 90.00
Atoms (fractional coordinates):
La 0.0000 0.0000 0.0000
H 0.0000 0.0000 0.5000
Pd 0.0000 0.5000 0.5000
Pd 0.5000 0.0000 0.5000
Rh 0.5000 0.5000 0.0000

No. 8
VASP calculation (PBE) on crystalline La2HPdRh at its relaxed geometry.

Its energy above the most stable polymorph in this dataset is 0.000 eV/atom. Its total energy is -5.83 eV per atom. The calculation puts the size of the total moment at 0.000 μB per atom.

Lattice parameters (Å, degrees): 5.2358 5.2358 3.6312 90.00 90.00 90.00
Atoms (fractional coordinates):
La 0.0000 0.5000 0.0000
La 0.5000 0.0000 0.0000
H 0.0000 0.0000 0.0000
Pd 0.5000 0.5000 0.5000
Rh 0.0000 0.0000 0.5000

- What is the size of the total moment in the seventh record?
  0.000 μB per atom